A plane-wave DFT calculation with PBE-GGA was carried out for SrTa2Au after structural relaxation.

The energy above the most stable polymorph in this dataset is 7.31 kcal/mol of atoms. For the formation energy, the calculation gives 0.54 eV per atom.

The space group is P2/m (No. 10) and the conventional cell measures 3.173, 5.569 and 5.068 Å, with angles of 90.00, 93.62 and 90.00 degrees. The inequivalent atoms are Sr at (0.000, 0.000, 0.000), Ta at (0.353, 0.500, 0.738) and Au at (0.500, 0.000, 0.500).


A plane-wave DFT calculation with PBE-GGA was carried out for LaUPbO6 after structural relaxation.

The raw formation energy is -2.527 eV per atom.

The space group is P312 (No. 149) and the conventional cell measures 6.0709, 6.0709 and 4.7919 Å, with angles of 90.00, 90.00 and 120.00 degrees. The inequivalent atoms are La at (0.0000, 0.0000, 0.0000), U at (0.3333, 0.6667, 0.0000), Pb at (0.6667, 0.3333, 0.5000) and O at (0.0391, 0.3715, 0.2248).


| no. | total magnetization (Bohr magnetons per cell) |
| --- | --- |
| 1 | 0.00 |
| 2 | 0.00 |